[1]
This record from Alexandria via LeMat-Bulk describes DyZn12Ni4 after structural relaxation. The functional is GGA-PBE. Values from VASP.

Values from the calculation:
N(E_F)   0.5959 states/eV per atom
E_form   12.1 kJ/mol of atoms

Cell and atoms, written as Quantum ESPRESSO input:
```
&SYSTEM
  ibrav = 0, nat = 17, ntyp = 3
/
ATOMIC_SPECIES
Zn 65.41 Zn.upf
Dy 162.50 Dy.upf
Ni 58.69 Ni.upf
ATOMIC_POSITIONS crystal
Zn 0.183 0.837 0.346
Zn 0.346 0.509 0.163
Zn 0.817 0.163 0.654
Zn 0.163 0.654 0.817
Zn 0.837 0.654 0.491
Zn 0.509 0.163 0.346
Zn 0.837 0.346 0.183
Zn 0.654 0.817 0.163
Zn 0.491 0.837 0.654
Zn 0.346 0.183 0.837
Zn 0.654 0.491 0.837
Zn 0.163 0.346 0.509
Dy 0.000 0.000 0.000
Ni 0.500 0.500 0.500
Ni 0.500 0.000 0.000
Ni 0.000 0.000 0.500
Ni 0.000 0.500 0.000
CELL_PARAMETERS angstrom
-4.132 5.623 -2.063
-2.756 -2.941 6.059
6.777 2.315 1.293
```

=====

[2]
This record from Alexandria via LeMat-Bulk describes DyInHgPb after structural relaxation. The functional is GGA-PBE. Values from VASP.

Values from the calculation:
N(E_F)   0.2784 states/eV per atom
E_form   -34.6 kJ/mol of atoms
Energy relative to the lowest polymorph listed for this composition   0 meV per atom

Cell and atoms, written as Quantum ESPRESSO input:
```
&SYSTEM
  ibrav = 0, nat = 4, ntyp = 4
/
ATOMIC_SPECIES
In 114.82 In.upf
Hg 200.59 Hg.upf
Dy 162.50 Dy.upf
Pb 207.20 Pb.upf
ATOMIC_POSITIONS crystal
In 0.500 0.500 0.000
Hg 0.000 0.000 0.000
Dy 0.000 0.500 0.500
Pb 0.500 0.000 0.500
CELL_PARAMETERS angstrom
-1.870 -1.103 -4.081
0.733 -4.485 0.876
-4.345 -0.305 2.074
```

=====

Copy entry 2 word for word.
This record from Alexandria via LeMat-Bulk describes DyInHgPb after structural relaxation. The functional is GGA-PBE. Values from VASP.

Values from the calculation:
N(E_F)   0.2784 states/eV per atom
E_form   -34.6 kJ/mol of atoms
Energy relative to the lowest polymorph listed for this composition   0 meV per atom

Cell and atoms, written as Quantum ESPRESSO input:
```
&SYSTEM
  ibrav = 0, nat = 4, ntyp = 4
/
ATOMIC_SPECIES
In 114.82 In.upf
Hg 200.59 Hg.upf
Dy 162.50 Dy.upf
Pb 207.20 Pb.upf
ATOMIC_POSITIONS crystal
In 0.500 0.500 0.000
Hg 0.000 0.000 0.000
Dy 0.000 0.500 0.500
Pb 0.500 0.000 0.500
CELL_PARAMETERS angstrom
-1.870 -1.103 -4.081
0.733 -4.485 0.876
-4.345 -0.305 2.074
```